Compound: InTeC
Source: Alexandria via LeMat-Bulk
Functional: GGA-PBE
Structure: relaxed

E above lowest polymorph (eV/f.u.): 0.327
Space-group type: No. 1
Crystal system: triclinic

a b c (Å): 3.8239 6.2247 7.6042
angles (deg): 81.15 89.62 72.27
Element x y z (fractional)
C 0.7492 0.0445 0.5830
C 0.8351 0.8738 0.5031
Te 0.6126 0.3156 0.9782
Te 0.9702 0.6072 0.3673
In 0.3680 0.8227 0.0433
In 0.1639 0.2142 0.6821

Compound: In2Te2C
Source: Alexandria via LeMat-Bulk
Functional: GGA-PBE
Structure: relaxed

E above lowest polymorph (eV/f.u.): 2.119
Space-group type: No. 139
Crystal system: tetragonal

a b c (Å): 4.1961 4.1961 8.3224
angles (deg): 75.40 75.40 90.00
Element x y z (fractional)
C 0.0000 0.0000 0.0000
Te 0.4081 0.4081 0.1839
Te 0.5919 0.5919 0.8161
In 0.7500 0.2500 0.5000
In 0.2500 0.7500 0.5000

Compound: InTe2C
Source: Alexandria via LeMat-Bulk
Functional: GGA-PBE
Structure: relaxed

E above lowest polymorph (eV/f.u.): 0.715
Space-group type: No. 166
Crystal system: trigonal

a b c (Å): 9.8281 9.8281 9.8281
angles (deg): 19.82 19.82 19.82
Element x y z (fractional)
C 0.5000 0.5000 0.5000
Te 0.8869 0.8869 0.8869
Te 0.1131 0.1131 0.1131
In 0.0000 0.0000 0.0000

Compound: InTe2C2
Source: Alexandria via LeMat-Bulk
Functional: GGA-PBE
Structure: relaxed

E above lowest polymorph (eV/f.u.): 0.000
Space-group type: No. 139
Crystal system: tetragonal

a b c (Å): 4.9822 4.9822 5.2400
angles (deg): 61.61 61.61 90.00
Element x y z (fractional)
C 0.4149 0.4149 0.1701
C 0.5851 0.5851 0.8299
Te 0.7500 0.2500 0.5000
Te 0.2500 0.7500 0.5000
In 0.0000 0.0000 0.0000

Compound: InTeC
Source: Alexandria via LeMat-Bulk
Functional: GGA-PBE
Structure: relaxed

E above lowest polymorph (eV/f.u.): 1.261
Space-group type: No. 38
Crystal system: orthorhombic

a b c (Å): 3.8821 13.5700 5.4396
angles (deg): 90.00 90.00 90.00
Element x y z (fractional)
C 0.5000 0.3173 0.7629
C 0.5000 0.6827 0.7629
C 0.5000 0.8173 0.2629
C 0.5000 0.1827 0.2629
Te 0.5000 0.8380 0.8623
Te 0.5000 0.1620 0.8623
Te 0.5000 0.3380 0.3623
Te 0.5000 0.6620 0.3623
In 0.0000 0.6053 0.8903
In 0.0000 0.3947 0.8903
In 0.0000 0.1053 0.3903
In 0.0000 0.8947 0.3903

Compound: InTeC
Source: Alexandria via LeMat-Bulk
Functional: GGA-PBE
Structure: relaxed

E above lowest polymorph (eV/f.u.): 0.248
Space-group type: No. 1
Crystal system: triclinic

a b c (Å): 4.0985 4.5181 9.8583
angles (deg): 86.43 90.15 62.76
Element x y z (fractional)
C 0.2102 0.7516 0.3929
C 0.1598 0.8553 0.5115
Te 0.4660 0.2745 0.0745
Te 0.0726 0.0458 0.6953
In 0.7549 0.6924 0.8902
In 0.7564 0.6595 0.2786

Compound: InTeC
Source: Alexandria via LeMat-Bulk
Functional: GGA-PBE
Structure: relaxed

E above lowest polymorph (eV/f.u.): 0.090
Space-group type: No. 1
Crystal system: triclinic

a b c (Å): 4.0017 4.4973 10.2223
angles (deg): 102.50 100.84 89.97
Element x y z (fractional)
C 0.8675 0.7639 0.6195
C 0.7993 0.6961 0.4898
Te 0.5062 0.4087 0.9118
Te 0.6883 0.5873 0.2838
In 0.1057 0.0028 0.1201
In 0.4210 0.8202 0.7320

Compound: InTe2C
Source: Alexandria via LeMat-Bulk
Functional: GGA-PBE
Structure: relaxed

E above lowest polymorph (eV/f.u.): 2.690
Space-group type: No. 225
Crystal system: cubic

a b c (Å): 5.0385 5.0385 5.0385
angles (deg): 60.00 60.00 60.00
Element x y z (fractional)
C 0.0000 0.0000 0.0000
Te 0.2500 0.2500 0.2500
Te 0.7500 0.7500 0.7500
In 0.5000 0.5000 0.5000

Compound: InTeC
Source: Alexandria via LeMat-Bulk
Functional: GGA-PBE
Structure: relaxed

E above lowest polymorph (eV/f.u.): 1.010
Space-group type: No. 6
Crystal system: monoclinic

a b c (Å): 6.0450 3.6650 6.5400
angles (deg): 90.00 107.74 90.00
Element x y z (fractional)
C 0.8583 0.5000 0.2786
C 0.3664 0.0000 0.2310
Te 0.5626 0.5000 0.3869
Te 0.7467 0.5000 0.9319
In 0.3212 0.0000 0.8700
In 0.0772 0.0000 0.3982

Compound: Th4In2C
Source: Alexandria via LeMat-Bulk
Functional: GGA-PBE
Structure: relaxed

E above lowest polymorph (eV/f.u.): 0.246
Space-group type: No. 11
Crystal system: monoclinic
ΔH_f (0 K) (eV/atom): -0.133

a b c (Å): 6.5452 6.7754 9.7659
angles (deg): 90.00 110.57 90.00
Element x y z (fractional)
Th 0.5480 0.4842 0.2909
Th 0.1400 0.7500 0.9502
Th 0.8600 0.2500 0.0498
Th 0.5480 0.0158 0.2909
Th 0.9232 0.2500 0.6575
Th 0.4520 0.9842 0.7091
Th 0.4520 0.5158 0.7091
Th 0.0768 0.7500 0.3425
In 0.6858 0.7500 0.0298
In 0.3142 0.2500 0.9702
In 0.1590 0.2500 0.4046
In 0.8410 0.7500 0.5954
C 0.3068 0.7500 0.2041
C 0.6932 0.2500 0.7959

Compound: Th4In2C
Source: Alexandria via LeMat-Bulk
Functional: GGA-PBE
Structure: relaxed

E above lowest polymorph (eV/f.u.): 0.000
Space-group type: No. 139
Crystal system: tetragonal
ΔH_f (0 K) (eV/atom): -0.169

a b c (Å): 5.0359 5.0359 8.8683
angles (deg): 106.49 106.49 90.00
Element x y z (fractional)
C 0.0000 0.0000 0.0000
Th 0.8423 0.8423 0.6845
Th 0.1577 0.1577 0.3155
Th 0.0000 0.5000 0.0000
Th 0.5000 0.0000 0.0000
In 0.6401 0.6401 0.2801
In 0.3599 0.3599 0.7199

Compound: ThInC
Source: Alexandria via LeMat-Bulk
Functional: GGA-PBE
Structure: relaxed

Space-group type: No. 70
Crystal system: orthorhombic
ΔH_f (0 K) (eV/atom): 0.241

a b c (Å): 7.0778 7.0778 7.2713
angles (deg): 105.50 105.50 116.81
Element x y z (fractional)
In 0.6250 0.3750 0.2500
In 0.1250 0.3750 0.7500
In 0.6250 0.3750 0.7500
In 0.6250 0.8750 0.2500
Th 0.0982 0.9018 0.5000
Th 0.8482 0.1518 0.0000
Th 0.4018 0.5982 0.5000
Th 0.1518 0.8482 0.0000
C 0.1172 0.6172 0.2344
C 0.1328 0.1328 0.2656
C 0.8672 0.8672 0.7344
C 0.3828 0.8828 0.7656

Compound: Th5In2C2
Source: Alexandria via LeMat-Bulk
Functional: GGA-PBE
Structure: relaxed

Space-group type: No. 12
Crystal system: monoclinic
ΔH_f (0 K) (eV/atom): -0.134

a b c (Å): 5.3529 7.0448 7.0843
angles (deg): 95.88 90.00 112.33
Element x y z (fractional)
Th 0.3294 0.6588 0.0957
Th 0.6706 0.3412 0.9043
Th 0.1567 0.3134 0.5650
Th 0.8433 0.6866 0.4350
Th 0.0000 0.0000 0.0000
In 0.4314 0.8628 0.6719
In 0.5686 0.1372 0.3281
C 0.1711 0.3421 0.8955
C 0.8289 0.6579 0.1045

Compound: Th4In5C
Source: Alexandria via LeMat-Bulk
Functional: GGA-PBE
Structure: relaxed

Space-group type: No. 12
Crystal system: monoclinic
ΔH_f (0 K) (eV/atom): -0.293

a b c (Å): 4.1980 8.2601 9.3453
angles (deg): 121.62 102.98 90.00
Element x y z (fractional)
Th 0.3521 0.9479 0.7041
Th 0.9500 0.7551 0.9000
Th 0.6479 0.0521 0.2959
Th 0.0500 0.2449 0.1000
In 0.7144 0.5815 0.4287
In 0.8627 0.2689 0.7254
In 0.1373 0.7311 0.2746
In 0.5000 0.5000 0.0000
In 0.2856 0.4185 0.5713
C 0.5000 0.0000 0.0000

Compound: Th4InC
Source: Alexandria via LeMat-Bulk
Functional: GGA-PBE
Structure: relaxed

Space-group type: No. 2
Crystal system: triclinic
ΔH_f (0 K) (eV/atom): -0.177

a b c (Å): 6.2944 7.1042 8.1810
angles (deg): 104.30 112.57 90.00
Element x y z (fractional)
Th 0.4885 0.0357 0.8063
Th 0.6830 0.4644 0.1939
Th 0.5115 0.9643 0.1937
Th 0.3170 0.5356 0.8061
Th 0.8901 0.8431 0.6102
Th 0.2803 0.6570 0.3896
Th 0.1099 0.1569 0.3898
Th 0.7197 0.3430 0.6103
In 0.9126 0.7502 0.0001
In 0.0874 0.2498 0.9999
C 0.5000 0.0000 0.5000
C 0.0000 0.5000 0.5000

Compound: TmTh2InC
Source: Alexandria via LeMat-Bulk
Functional: GGA-PBE
Structure: relaxed

Space-group type: No. 123
Crystal system: tetragonal
ΔH_f (0 K) (eV/atom): -0.362

a b c (Å): 4.8986 5.0823 5.0823
angles (deg): 90.00 90.00 90.00
Element x y z (fractional)
Tm 0.5000 0.0000 0.0000
Th 0.0000 0.0000 0.5000
Th 0.0000 0.5000 0.0000
In 0.5000 0.5000 0.5000
C 0.0000 0.0000 0.0000

Compound: Tm2ThInC
Source: Alexandria via LeMat-Bulk
Functional: GGA-PBE
Structure: relaxed

Space-group type: No. 123
Crystal system: tetragonal
ΔH_f (0 K) (eV/atom): -0.443

a b c (Å): 5.0525 4.8812 4.8812
angles (deg): 90.00 90.00 90.00
Element x y z (fractional)
Tm 0.0000 0.0000 0.5000
Tm 0.0000 0.5000 0.0000
Th 0.5000 0.0000 0.0000
In 0.5000 0.5000 0.5000
C 0.0000 0.0000 0.0000

Compound: YTh2InC
Source: Alexandria via LeMat-Bulk
Functional: GGA-PBE
Structure: relaxed

Space-group type: No. 123
Crystal system: tetragonal
ΔH_f (0 K) (eV/atom): -0.366

a b c (Å): 4.9901 5.0772 5.0772
angles (deg): 90.00 90.00 90.00
Element x y z (fractional)
Y 0.5000 0.0000 0.0000
Th 0.0000 0.0000 0.5000
Th 0.0000 0.5000 0.0000
In 0.5000 0.5000 0.5000
C 0.0000 0.0000 0.0000

Compound: Y2ThInC
Source: Alexandria via LeMat-Bulk
Functional: GGA-PBE
Structure: relaxed

Space-group type: No. 123
Crystal system: tetragonal
ΔH_f (0 K) (eV/atom): -0.445

a b c (Å): 5.0612 4.9636 4.9636
angles (deg): 90.00 90.00 90.00
Element x y z (fractional)
Y 0.0000 0.0000 0.5000
Y 0.0000 0.5000 0.0000
Th 0.5000 0.0000 0.0000
In 0.5000 0.5000 0.5000
C 0.0000 0.0000 0.0000

Compound: Ti2InC
Source: Alexandria via LeMat-Bulk
Functional: GGA-PBE
Structure: relaxed

E above lowest polymorph (eV/f.u.): 2.891
Space-group type: No. 122
Crystal system: tetragonal
ΔH_f (0 K) (eV/atom): 0.051

a b c (Å): 6.4490 6.4490 5.5569
angles (deg): 54.53 54.53 90.00
Element x y z (fractional)
C 0.5000 0.5000 0.0000
C 0.2500 0.7500 0.5000
Ti 0.5296 0.1250 0.2500
Ti 0.2204 0.6250 0.2500
Ti 0.3750 0.4704 0.7500
Ti 0.8750 0.7796 0.7500
In 0.0000 0.0000 0.0000
In 0.7500 0.2500 0.5000

Compound: Ti4In5C
Source: Alexandria via LeMat-Bulk
Functional: GGA-PBE
Structure: relaxed

Space-group type: No. 12
Crystal system: monoclinic
ΔH_f (0 K) (eV/atom): -0.237

a b c (Å): 3.1609 7.9599 8.0838
angles (deg): 98.94 101.27 90.00
Element x y z (fractional)
Ti 0.6350 0.0470 0.2700
Ti 0.9994 0.1732 0.9987
Ti 0.3650 0.9530 0.7300
Ti 0.0006 0.8268 0.0013
In 0.1685 0.3750 0.3371
In 0.1795 0.7613 0.3589
In 0.8205 0.2387 0.6411
In 0.5000 0.5000 0.0000
In 0.8315 0.6250 0.6629
C 0.5000 0.0000 0.0000

Compound: Ti3InC
Source: Alexandria via LeMat-Bulk
Functional: GGA-PBE
Structure: relaxed

Space-group type: No. 221
Crystal system: cubic
ΔH_f (0 K) (eV/atom): -0.547

a b c (Å): 4.2487 4.2487 4.2487
angles (deg): 90.00 90.00 90.00
Element x y z (fractional)
C 0.0000 0.0000 0.0000
Ti 0.0000 0.5000 0.0000
Ti 0.0000 0.0000 0.5000
Ti 0.5000 0.0000 0.0000
In 0.5000 0.5000 0.5000

Compound: Ti12In6C
Source: Alexandria via LeMat-Bulk
Functional: GGA-PBE
Structure: relaxed

Space-group type: No. 148
Crystal system: trigonal
ΔH_f (0 K) (eV/atom): 0.029

a b c (Å): 7.2290 7.2290 7.2290
angles (deg): 98.31 98.31 98.31
Element x y z (fractional)
Ti 0.7749 0.5880 0.4930
Ti 0.4930 0.7749 0.5880
Ti 0.5880 0.4930 0.7749
Ti 0.2251 0.4120 0.5070
Ti 0.5070 0.2251 0.4120
Ti 0.4120 0.5070 0.2251
Ti 0.9998 0.0905 0.2874
Ti 0.9095 0.7126 0.0002
Ti 0.7126 0.0002 0.9095
Ti 0.0002 0.9095 0.7126
Ti 0.0905 0.2874 0.9998
Ti 0.2874 0.9998 0.0905
In 0.6395 0.8666 0.2552
In 0.7448 0.3605 0.1334
In 0.1334 0.7448 0.3605
In 0.3605 0.1334 0.7448
In 0.2552 0.6395 0.8666
In 0.8666 0.2552 0.6395
C 0.0000 0.0000 0.0000

Compound: Ti2In2C
Source: Alexandria via LeMat-Bulk
Functional: GGA-PBE
Structure: relaxed

Space-group type: No. 12
Crystal system: monoclinic
ΔH_f (0 K) (eV/atom): -0.489

a b c (Å): 3.1916 3.1913 10.0181
angles (deg): 80.95 80.83 60.00
Element x y z (fractional)
Ti 0.7041 0.2026 0.3893
Ti 0.2959 0.7974 0.6107
In 0.4525 0.9494 0.1455
In 0.5475 0.0506 0.8545
C 0.0000 0.5000 0.5000

Compound: Ti3InC
Source: Alexandria via LeMat-Bulk
Functional: GGA-PBE
Structure: relaxed

Space-group type: No. 221
Crystal system: cubic
ΔH_f (0 K) (eV/atom): 2.349

a b c (Å): 5.0004 5.0004 5.0004
angles (deg): 90.00 90.00 90.00
Element x y z (fractional)
C 0.5000 0.5000 0.5000
Ti 0.0000 0.5000 0.0000
Ti 0.0000 0.0000 0.5000
Ti 0.5000 0.0000 0.0000
In 0.0000 0.0000 0.0000

| no. | energy (eV/atom) |
| --- | --- |
| 1 | -4.47 |
| 2 | -2.86 |
| 3 | -3.54 |
| 4 | -4.25 |
| 5 | -4.16 |
| 6 | -4.50 |
| 7 | -4.55 |
| 8 | -3.05 |
| 9 | -4.24 |
| 10 | -6.47 |
| 11 | -6.51 |
| 12 | -6.22 |
| 13 | -6.91 |
| 14 | -5.55 |
| 15 | -7.12 |
| 16 | -6.62 |
| 17 | -6.11 |
| 18 | -7.02 |
| 19 | -6.91 |
| 20 | -6.89 |
| 21 | -5.69 |
| 22 | -7.68 |
| 23 | -6.31 |
| 24 | -6.59 |
| 25 | -4.78 |